1.
A PBEsol-optimized structure of Rb2HgTe2. Source: Alexandria, functional meta-GGA SCAN.

Cell: 7.1165 7.1165 8.3441 Å, 115.24 115.24 90.00°
Element x y z (fractional)
Te: 0.1957 0.1957 0.3914
Te: 0.8043 0.8043 0.6086
Rb: 0.2500 0.7500 0.5000
Rb: 0.7500 0.2500 0.5000
Hg: 0.0000 0.0000 0.0000

Calculated values
Formation energy without anion corrections (eV per atom): -0.80
SG: I4/mmm, No. 139
Density (g/cm3): 3.09
Total magnetization (μB per cell): 0.00

---

2.
A PBEsol-optimized structure of TiAlSe2. Source: Alexandria, functional meta-GGA SCAN.

Cell: 5.8603 5.8603 6.8908 Å, 115.17 115.17 90.00°
Element x y z (fractional)
Se: 0.8561 0.3750 0.2500
Se: 0.1250 0.1439 0.7500
Se: 0.6250 0.6061 0.7500
Se: 0.3939 0.8750 0.2500
Al: 0.7500 0.2500 0.5000
Al: 0.5000 0.5000 0.0000
Ti: 0.0000 0.0000 0.0000
Ti: 0.2500 0.7500 0.5000

Calculated values
Formation energy without anion corrections (eV per atom): -0.62
SG: I-42d, No. 122
Density (g/cm3): 4.09
Total magnetization (μB per cell): 5.99